# Cs2TlSiO4 (PBE-GGA, relaxed)
# **Raw formation energy**: -1.770 eV per atom
# **Total energy**: -86.985 eV per cell
data_Cs2TlSiO4
_chemical_formula_sum 'Cs4 Tl2 Si2 O8'
_symmetry_space_group_name_H-M 'I -4'
_symmetry_Int_Tables_number 82
_cell_length_a 6.361
_cell_length_b 6.361
_cell_length_c 8.336
_cell_angle_alpha 90.00
_cell_angle_beta 90.00
_cell_angle_gamma 90.00
loop_
_symmetry_equiv_pos_as_xyz
'x,y,z'
'y,-x,-z'
'-x,-y,z'
'-y,x,-z'
'x+1/2,y+1/2,z+1/2'
'y+1/2,-x+1/2,-z+1/2'
'-x+1/2,-y+1/2,z+1/2'
'-y+1/2,x+1/2,-z+1/2'
loop_
_atom_site_label
_atom_site_type_symbol
_atom_site_fract_x
_atom_site_fract_y
_atom_site_fract_z
_atom_site_occupancy
Cs1 Cs 0.000 0.000 0.000 1
Cs2 Cs 0.000 0.500 0.250 1
Tl1 Tl 0.000 0.000 0.500 1
Si1 Si 0.000 0.500 0.750 1
O1 O 0.116 0.687 0.641 1

=====

# CsTmSiO4 (PBE-GGA, relaxed)
# **Raw formation energy**: -2.905 eV per atom
# **Total energy**: -101.833 eV per cell
data_CsTmSiO4
_chemical_formula_sum 'Cs2 Tm2 Si2 O8'
_symmetry_space_group_name_H-M 'P 1 21/m 1'
_symmetry_Int_Tables_number 11
_cell_length_a 5.552
_cell_length_b 5.774
_cell_length_c 8.086
_cell_angle_alpha 90.00
_cell_angle_beta 108.85
_cell_angle_gamma 90.00
loop_
_symmetry_equiv_pos_as_xyz
'x,y,z'
'-x,-y,-z'
'-x,y+1/2,-z'
'x,-y+1/2,z'
loop_
_atom_site_label
_atom_site_type_symbol
_atom_site_fract_x
_atom_site_fract_y
_atom_site_fract_z
_atom_site_occupancy
Cs1 Cs 0.197 0.250 0.430 1
Tm1 Tm 0.289 0.250 0.964 1
Si1 Si 0.254 0.750 0.144 1
O1 O 0.049 0.750 0.945 1
O2 O 0.078 0.750 0.272 1
O3 O 0.454 0.529 0.161 1

=====

# Cs2USi2O8 (PBE-GGA, relaxed)
# **Raw formation energy**: -2.775 eV per atom
# **Total energy**: -1593.296 eV per cell
data_Cs2USi2O8
_chemical_formula_sum 'Cs32 U16 Si32 O128'
_symmetry_space_group_name_H-M 'I b c a'
_symmetry_Int_Tables_number 73
_symmetry_space_group_name_Hall '-I 2b 2c'
_cell_length_a 15.351
_cell_length_b 15.556
_cell_length_c 16.597
_cell_angle_alpha 90.00
_cell_angle_beta 90.00
_cell_angle_gamma 90.00
loop_
_atom_site_label
_atom_site_type_symbol
_atom_site_fract_x
_atom_site_fract_y
_atom_site_fract_z
_atom_site_occupancy
Cs1 Cs 0.000 0.250 0.102 1
Cs2 Cs 0.000 0.250 0.356 1
Cs3 Cs 0.107 0.000 0.250 1
Cs4 Cs 0.250 0.129 0.000 1
U1 U 0.000 0.000 0.000 1
U2 U 0.250 0.250 0.250 1
Si1 Si 0.131 0.069 0.677 1
Si2 Si 0.205 0.109 0.417 1
O1 O 0.048 0.059 0.616 1
O2 O 0.055 0.105 0.978 1
O3 O 0.118 0.000 0.750 1
O4 O 0.121 0.050 0.438 1
O5 O 0.135 0.166 0.715 1
O6 O 0.183 0.191 0.358 1
O7 O 0.201 0.165 0.186 1
O8 O 0.223 0.046 0.629 1
O9 O 0.250 0.149 0.500 1

=====

# CsUSi2O8 (PBE-GGA, relaxed)
# **Raw formation energy**: -2.525 eV per atom
# **Total energy**: -185.911 eV per cell
data_CsUSi2O8
_chemical_formula_sum 'Cs2 U2 Si4 O16'
_symmetry_space_group_name_H-M 'C 1 2/m 1'
_symmetry_Int_Tables_number 12
_cell_length_a 9.377
_cell_length_b 5.620
_cell_length_c 9.012
_cell_angle_alpha 90.00
_cell_angle_beta 91.49
_cell_angle_gamma 90.00
loop_
_symmetry_equiv_pos_as_xyz
'x,y,z'
'-x,-y,-z'
'-x,y,-z'
'x,-y,z'
'x+1/2,y+1/2,z'
'-x+1/2,-y+1/2,-z'
'-x+1/2,y+1/2,-z'
'x+1/2,-y+1/2,z'
loop_
_atom_site_label
_atom_site_type_symbol
_atom_site_fract_x
_atom_site_fract_y
_atom_site_fract_z
_atom_site_occupancy
Cs1 Cs 0.000 0.000 0.000 1
U1 U 0.000 0.000 0.500 1
Si1 Si 0.150 0.500 0.300 1
O1 O 0.058 0.261 0.347 1
O2 O 0.180 0.500 0.125 1
O3 O 0.203 0.000 0.594 1

=====

- The highest raw formation energy belongs to which entry?
  Cs2TlSiO4